{"formula": "K2La2UO6", "functional": "PBE-GGA", "state": "optimized geometry", "spacegroup": "C2/m (12)", "dft_energy_ev_per_cell": -83.83, "dos_at_fermi_per_ev_fu": 3.292, "lattice_angstrom": [[-1.9606, 5.8269, 1.5741], [-3.2640, -5.0697, 1.9795], [5.1829, -0.4643, 4.1827]], "species": ["O", "La", "U", "La", "O", "K", "K", "O", "O", "O", "O"], "fractional_positions": [[0.3688, 0.0429, 0.6741], [0.3341, 0.6659, 0.5000], [0.0000, 0.0000, 0.5000], [0.6659, 0.3341, 0.5000], [0.0429, 0.3688, 0.6741], [0.8358, 0.1642, 0.0000], [0.1642, 0.8358, 0.0000], [0.9571, 0.6312, 0.3259], [0.6312, 0.9571, 0.3259], [0.2396, 0.2396, 0.3233], [0.7604, 0.7604, 0.6767]]}